A plane-wave DFT calculation with PBE-GGA was carried out for CeTaNb2 after structural relaxation.

## Properties
E above lowest polymorph: 0.0 kJ/mol of atoms
E: -9.328 eV/atom

The structure in POSCAR format:
```
CeTaNb2
1.0
0.0000 3.4219 3.4219
3.4219 0.0000 3.4219
3.4219 3.4219 0.0000
Ce Ta Nb
1 1 2
Direct
0.0000 0.0000 0.0000
0.5000 0.5000 0.5000
0.2500 0.2500 0.2500
0.7500 0.7500 0.7500
```